# PBE with a Hubbard U YNi2O, optimized geometry
# final energy: -4.211 eV per atom
# magnetization: 2.84 Bohr magnetons per cell
# D(E_F): 1.882 states/eV/f.u.
# density: 5.65 g/cm³
data_YNi2O
_symmetry_space_group_name_H-M 'I 41/a m d'
_symmetry_Int_Tables_number 141
_cell_length_a 4.466
_cell_length_b 4.466
_cell_length_c 13.112
_cell_angle_alpha 90.00
_cell_angle_beta 90.00
_cell_angle_gamma 90.00
loop_
_symmetry_equiv_pos_as_xyz
'x,y,z'
'-x,-y,-z'
'-y+1/4,x+3/4,z+1/4'
'y+1/4,-x+3/4,-z+1/4'
'-x+1/2,-y,z+1/2'
'x+1/2,y,-z+1/2'
'y+1/4,-x+1/4,z+3/4'
'-y+1/4,x+1/4,-z+3/4'
'x,-y,-z'
'-x,y,z'
'-y+1/4,-x+1/4,-z+3/4'
'y+1/4,x+1/4,z+3/4'
'-x+1/2,y,-z+1/2'
'x+1/2,-y,z+1/2'
'y+1/4,x+3/4,-z+1/4'
'-y+1/4,-x+3/4,z+1/4'
'x+1/2,y+1/2,z+1/2'
'-x+1/2,-y+1/2,-z+1/2'
'-y+3/4,x+1/4,z+3/4'
'y+3/4,-x+1/4,-z+3/4'
'-x,-y+1/2,z'
'x,y+1/2,-z'
'y+3/4,-x+3/4,z+1/4'
'-y+3/4,x+3/4,-z+1/4'
'x+1/2,-y+1/2,-z+1/2'
'-x+1/2,y+1/2,z+1/2'
'-y+3/4,-x+3/4,-z+1/4'
'y+3/4,x+3/4,z+1/4'
'-x,y+1/2,-z'
'x,-y+1/2,z'
'y+3/4,x+1/4,-z+3/4'
'-y+3/4,-x+1/4,z+3/4'
loop_
_atom_site_label
_atom_site_type_symbol
_atom_site_fract_x
_atom_site_fract_y
_atom_site_fract_z
_atom_site_occupancy
Y1 Y 0.000 0.250 0.375 1
Ni1 Ni 0.000 0.000 0.000 1
O1 O 0.000 0.250 0.875 1